A plane-wave DFT calculation with PBE was carried out for Zr3TiC after structural relaxation.

The size of the total moment is 0.00 μB per formula unit. For the formation energy, the calculation gives -0.20 eV/atom. As for the calculated total energy: -0.3216 Ha/atom.

Cell lengths 4.577, 4.577, 4.577 Å; angles 90.00, 90.00, 90.00 degrees
Space group Pm-3m (No. 221)
Inequivalent atoms, fractional coordinates:
Zr 0.000 0.000 0.500 [3 per cell]
Ti 0.500 0.500 0.500 [1 per cell]
C 0.000 0.000 0.000 [1 per cell]